one.
First-principles (PBE-GGA) data for crystalline NaTeN2F at its relaxed geometry, as listed in Alexandria.

Cell lengths 4.3466, 4.3466, 6.3578 Å; angles 90.00, 90.00, 90.00 degrees
Closest atoms and distances in Å follow each position.
Space group P4/mmm (No. 123)
Symmetry-distinct sites (fractional):
Na1 0.0000 0.0000 0.0000 (multiplicity 1)  4 N 2.17
Te1 0.0000 0.0000 0.5000 (multiplicity 1)  4 F 3.07, 2 Na 3.18
N1 0.0000 0.5000 0.0000 (multiplicity 2)  2 Na 2.17
F1 0.5000 0.5000 0.5000 (multiplicity 1)  4 Te 3.07

***

two.
First-principles (PBE-GGA) data for crystalline NaTeN2F at its relaxed geometry, as listed in Alexandria.

Cell lengths 5.0321, 5.0321, 4.3079 Å; angles 90.00, 90.00, 90.00 degrees
Closest atoms and distances in Å follow each position.
Space group P4/mmm (No. 123)
Symmetry-distinct sites (fractional):
Na1 0.0000 0.0000 0.0000 (multiplicity 1)  8 N 3.31, 4 Te 3.56
Te1 0.5000 0.5000 0.0000 (multiplicity 1)  2 F 2.15
N1 0.0000 0.5000 0.5000 (multiplicity 2)  2 F 2.52
F1 0.5000 0.5000 0.5000 (multiplicity 1)  2 Te 2.15

***

In eV/atom, relative to the most stable structure: one 0.356; two 0.000.

***

one.
First-principles (PBE-GGA) data for crystalline NaTiN2F at its relaxed geometry, as listed in Alexandria.

Cell lengths 4.0947, 4.0947, 3.7248 Å; angles 90.00, 90.00, 90.00 degrees
Closest atoms and distances in Å follow each position.
Space group P4/mmm (No. 123)
Symmetry-distinct sites (fractional):
Na1 0.0000 0.0000 0.0000 (multiplicity 1)  2 F 1.86, 4 N 2.05
Ti1 0.5000 0.5000 0.5000 (multiplicity 1)  8 N 2.77, 4 F 2.90
N1 0.0000 0.5000 0.0000 (multiplicity 2)  2 Na 2.05
F1 0.0000 0.0000 0.5000 (multiplicity 1)  2 Na 1.86

***

two.
First-principles (PBE-GGA) data for crystalline NaTiN2F at its relaxed geometry, as listed in Alexandria.

Cell lengths 3.8950, 3.8950, 4.1941 Å; angles 90.00, 90.00, 90.00 degrees
Closest atoms and distances in Å follow each position.
Space group P4/mmm (No. 123)
Symmetry-distinct sites (fractional):
Na1 0.0000 0.0000 0.0000 (multiplicity 1)  4 F 2.75, 8 N 2.86
Ti1 0.5000 0.5000 0.5000 (multiplicity 1)  4 N 1.95, 2 F 2.10
N1 0.0000 0.5000 0.5000 (multiplicity 2)  2 Ti 1.95
F1 0.5000 0.5000 0.0000 (multiplicity 1)  2 Ti 2.10

***

In eV/atom, relative to the most stable structure: one 1.705; two 0.000.

***

one.
First-principles (PBE-GGA) data for crystalline NaTlN2F at its relaxed geometry, as listed in Alexandria.

Cell lengths 4.7418, 4.7418, 4.2600 Å; angles 90.00, 90.00, 90.00 degrees
Closest atoms and distances in Å follow each position.
Space group P4/mmm (No. 123)
Symmetry-distinct sites (fractional):
Na1 0.0000 0.0000 0.0000 (multiplicity 1)  2 F 2.13, 4 N 2.37
Tl1 0.5000 0.5000 0.5000 (multiplicity 1)  8 N 3.19, 4 F 3.35
N1 0.0000 0.5000 0.0000 (multiplicity 2)  2 Na 2.37
F1 0.0000 0.0000 0.5000 (multiplicity 1)  2 Na 2.13

***

two.
First-principles (PBE-GGA) data for crystalline NaTlN2F at its relaxed geometry, as listed in Alexandria.

Cell lengths 4.3451, 4.3451, 4.7782 Å; angles 90.00, 90.00, 90.00 degrees
Closest atoms and distances in Å follow each position.
Space group P4/mmm (No. 123)
Symmetry-distinct sites (fractional):
Na1 0.0000 0.0000 0.0000 (multiplicity 1)  4 F 3.07, 8 N 3.23
Tl1 0.5000 0.5000 0.5000 (multiplicity 1)  4 N 2.17, 2 F 2.39
N1 0.0000 0.5000 0.5000 (multiplicity 2)  2 Tl 2.17
F1 0.5000 0.5000 0.0000 (multiplicity 1)  2 Tl 2.39

***

In eV/atom, relative to the most stable structure: one 0.240; two 0.000.